Entry 1:
Entry from Alexandria: a relaxed TaNi2BiSe crystal (PBE).

Structure (POSCAR):
```
TaNi2BiSe
1.0
4.418 0.000 0.000
0.000 4.418 0.000
0.000 0.000 4.929
Ta Ni Bi Se
1 2 1 1
Direct
0.000 0.000 0.000 Ta
0.000 0.500 0.500 Ni
0.500 0.000 0.500 Ni
0.500 0.500 0.000 Bi
0.000 0.000 0.500 Se
```

Properties
E_form (uncorrected) = 0.47 eV/atom
crystal system = tetragonal
magnetic moment = 0.00 μB/cell
symmetry = No. 123

=====

Entry 2:
Entry from Alexandria: a relaxed InPPbS2 crystal (PBE).

Structure (POSCAR):
```
InPPbS2
1.0
5.074 0.000 0.000
0.000 5.074 0.000
0.000 0.000 5.015
In P Pb S
1 1 1 2
Direct
0.000 0.000 0.000 In
0.000 0.000 0.500 P
0.500 0.500 0.500 Pb
0.000 0.500 0.000 S
0.500 0.000 0.000 S
```

Properties
E_form (uncorrected) = 0.34 eV/atom
crystal system = tetragonal
magnetic moment = 0.58 μB/cell
symmetry = No. 123

=====

Entry 3:
Entry from Alexandria: a relaxed Cs2RbPb2Cl7 crystal (PBE).

Structure (POSCAR):
```
Cs2RbPb2Cl7
1.0
4.042 -4.039 0.000
4.042 4.039 0.000
-4.040 0.000 14.359
Cs Rb Pb Cl
2 1 2 7
Direct
0.176 0.176 0.363 Cs
0.824 0.824 0.637 Cs
0.000 0.000 0.000 Rb
0.399 0.399 0.799 Pb
0.601 0.601 0.201 Pb
0.095 0.594 0.191 Cl
0.294 0.294 0.601 Cl
0.406 0.905 0.809 Cl
0.500 0.500 0.000 Cl
0.594 0.095 0.191 Cl
0.706 0.706 0.399 Cl
0.905 0.406 0.809 Cl
```

Properties
E_form (uncorrected) = -1.58 eV/atom
crystal system = monoclinic
magnetic moment = 0.00 μB/cell
symmetry = No. 12

=====

Q: The highest E_form (uncorrected) belongs to which entry?
A: TaNi2BiSe

=====

Please write out number 3 again, unchanged.
Entry from Alexandria: a relaxed Cs2RbPb2Cl7 crystal (PBE).

Structure (POSCAR):
```
Cs2RbPb2Cl7
1.0
4.042 -4.039 0.000
4.042 4.039 0.000
-4.040 0.000 14.359
Cs Rb Pb Cl
2 1 2 7
Direct
0.176 0.176 0.363 Cs
0.824 0.824 0.637 Cs
0.000 0.000 0.000 Rb
0.399 0.399 0.799 Pb
0.601 0.601 0.201 Pb
0.095 0.594 0.191 Cl
0.294 0.294 0.601 Cl
0.406 0.905 0.809 Cl
0.500 0.500 0.000 Cl
0.594 0.095 0.191 Cl
0.706 0.706 0.399 Cl
0.905 0.406 0.809 Cl
```

Properties
E_form (uncorrected) = -1.58 eV/atom
crystal system = monoclinic
magnetic moment = 0.00 μB/cell
symmetry = No. 12

=====

Please write out number 3 again, unchanged.
Entry from Alexandria: a relaxed Cs2RbPb2Cl7 crystal (PBE).

Structure (POSCAR):
```
Cs2RbPb2Cl7
1.0
4.042 -4.039 0.000
4.042 4.039 0.000
-4.040 0.000 14.359
Cs Rb Pb Cl
2 1 2 7
Direct
0.176 0.176 0.363 Cs
0.824 0.824 0.637 Cs
0.000 0.000 0.000 Rb
0.399 0.399 0.799 Pb
0.601 0.601 0.201 Pb
0.095 0.594 0.191 Cl
0.294 0.294 0.601 Cl
0.406 0.905 0.809 Cl
0.500 0.500 0.000 Cl
0.594 0.095 0.191 Cl
0.706 0.706 0.399 Cl
0.905 0.406 0.809 Cl
```

Properties
E_form (uncorrected) = -1.58 eV/atom
crystal system = monoclinic
magnetic moment = 0.00 μB/cell
symmetry = No. 12